{"formula": "Ta4W", "functional": "PBE", "state": "optimized geometry", "formation_enthalpy_0k_ev_per_atom": 0.043, "space_group": "No. 136", "lattice_angstrom": [[10.115, 0.000, 0.000], [0.000, 10.115, 0.000], [0.000, 0.000, 5.318]], "species": ["Ta", "Ta", "Ta", "Ta", "Ta", "Ta", "Ta", "Ta", "Ta", "Ta", "Ta", "Ta", "Ta", "Ta", "Ta", "Ta", "Ta", "Ta", "Ta", "Ta", "Ta", "Ta", "Ta", "Ta", "W", "W", "W", "W", "W", "W"], "frac_coords": [[0.036, 0.368, 0.000], [0.066, 0.258, 0.500], [0.132, 0.536, 0.500], [0.181, 0.819, 0.248], [0.181, 0.819, 0.752], [0.242, 0.566, 0.000], [0.258, 0.066, 0.500], [0.319, 0.319, 0.252], [0.319, 0.319, 0.748], [0.368, 0.036, 0.000], [0.434, 0.758, 0.000], [0.464, 0.868, 0.500], [0.536, 0.132, 0.500], [0.566, 0.242, 0.000], [0.632, 0.964, 0.000], [0.681, 0.681, 0.252], [0.681, 0.681, 0.748], [0.742, 0.934, 0.500], [0.758, 0.434, 0.000], [0.819, 0.181, 0.248], [0.819, 0.181, 0.752], [0.868, 0.464, 0.500], [0.934, 0.742, 0.500], [0.964, 0.632, 0.000], [0.000, 0.000, 0.500], [0.101, 0.101, 0.000], [0.399, 0.601, 0.500], [0.500, 0.500, 0.000], [0.601, 0.399, 0.500], [0.899, 0.899, 0.000]]}

=====

{"formula": "TaW5", "functional": "PBE", "state": "optimized geometry", "de_polymorph_ev_per_atom": 0.178, "formation_enthalpy_0k_ev_per_atom": 0.452, "space_group": "No. 63", "lattice_angstrom": [[2.610, -4.596, 0.000], [2.610, 4.596, 0.000], [0.000, 0.000, 8.599]], "species": ["Ta", "Ta", "W", "W", "W", "W", "W", "W", "W", "W", "W", "W"], "frac_coords": [[0.170, 0.830, 0.750], [0.830, 0.170, 0.250], [0.000, 0.000, 0.000], [0.000, 0.000, 0.500], [0.169, 0.340, 0.750], [0.336, 0.664, 0.043], [0.336, 0.664, 0.457], [0.340, 0.169, 0.250], [0.660, 0.831, 0.750], [0.664, 0.336, 0.543], [0.664, 0.336, 0.957], [0.831, 0.660, 0.250]]}

=====

Number 1: calculated volume 544 Å³ per cell. Number 2: calculated volume 206 Å³ per cell.